Density functional theory data (PBE-GGA) for a geometry-optimized RbSrI3 structure.

Cell lengths 8.3983, 8.3983, 12.2236 Å; angles 90.00, 90.00, 146.58 degrees
Element x y z (fractional)
Rb (0.2476, 0.7524, 0.7500)
Rb (0.7524, 0.2476, 0.2500)
Sr (0.5000, 0.5000, 0.0000)
Sr (0.5000, 0.5000, 0.5000)
I (0.1352, 0.8648, 0.0572)
I (0.1352, 0.8648, 0.4428)
I (0.4255, 0.5745, 0.2500)
I (0.5745, 0.4255, 0.7500)
I (0.8648, 0.1352, 0.5572)
I (0.8648, 0.1352, 0.9428)

Values from the calculation:
As for the density of states at the Fermi level: 0.00 states/eV/cell. The total energy comes out at -3.091 eV/atom.